Entry 1:
Entry from OQMD via LeMat-Bulk: an optimized crystal structure of LiPaIn (PBE).

## Properties
- distance to the lowest polymorph of the same formula (eV per atom) = 0.000
- E (eV/cell) = -50.023

Cell and atoms, written as CIF:
```
data_LiPaIn
_cell_length_a 6.982
_cell_length_b 6.982
_cell_length_c 6.982
_cell_angle_alpha 90.00
_cell_angle_beta 90.00
_cell_angle_gamma 90.00
_space_group_name_H-M_alt 'F -4 3 m'
_space_group_IT_number 216
_space_group_name_Hall 'F -4 2 3'
loop_
_atom_site_label
_atom_site_fract_x
_atom_site_fract_y
_atom_site_fract_z
Li1 0.000 0.000 0.000
Pa1 0.000 0.000 0.500
In1 0.250 0.250 0.250
```

=====

Entry 2:
Entry from OQMD via LeMat-Bulk: an optimized crystal structure of LiPaIn (PBE).

## Properties
- distance to the lowest polymorph of the same formula (eV per atom) = 0.014
- E (eV/cell) = -12.463

Cell and atoms, written as CIF:
```
data_LiPaIn
_cell_length_a 5.5176
_cell_length_b 5.5176
_cell_length_c 2.8935
_cell_angle_alpha 90.00
_cell_angle_beta 90.00
_cell_angle_gamma 120.00
_space_group_name_H-M_alt 'P -6 m 2'
_space_group_IT_number 187
_space_group_name_Hall 'P -6 2'
loop_
_atom_site_label
_atom_site_fract_x
_atom_site_fract_y
_atom_site_fract_z
Li1 0.0000 0.0000 0.0000
Pa1 0.3333 0.6667 0.0000
In1 0.6667 0.3333 0.0000
```

=====

Entry 3:
Entry from OQMD via LeMat-Bulk: an optimized crystal structure of LiInPdPb (PBE).

## Properties
- distance to the lowest polymorph of the same formula (eV per atom) = 0.000
- E (eV/cell) = -59.288

Cell and atoms, written as CIF:
```
data_LiInPdPb
_cell_length_a 6.826
_cell_length_b 6.826
_cell_length_c 6.826
_cell_angle_alpha 90.00
_cell_angle_beta 90.00
_cell_angle_gamma 90.00
_space_group_name_H-M_alt 'F -4 3 m'
_space_group_IT_number 216
_space_group_name_Hall 'F -4 2 3'
loop_
_atom_site_label
_atom_site_fract_x
_atom_site_fract_y
_atom_site_fract_z
Li1 0.000 0.000 0.000
In1 0.250 0.250 0.750
Pd1 0.000 0.000 0.500
Pb1 0.250 0.250 0.250
```

=====

Entry 4:
Entry from OQMD via LeMat-Bulk: an optimized crystal structure of Li4InPd2Pb (PBE).

## Properties
- E (eV/cell) = -28.142

Cell and atoms, written as CIF:
```
data_Li4InPd2Pb
_cell_length_a 4.545
_cell_length_b 4.545
_cell_length_c 6.384
_cell_angle_alpha 90.00
_cell_angle_beta 90.00
_cell_angle_gamma 90.00
_space_group_name_H-M_alt 'P -4 m 2'
_space_group_IT_number 115
_space_group_name_Hall 'P -4 -2'
loop_
_atom_site_label
_atom_site_fract_x
_atom_site_fract_y
_atom_site_fract_z
Li1 0.000 0.000 0.000
Li2 0.000 0.500 0.246
Li3 0.500 0.500 0.500
In1 0.500 0.500 0.000
Pd1 0.000 0.500 0.757
Pb1 0.000 0.000 0.500
```

=====

Entry 5:
Entry from OQMD via LeMat-Bulk: an optimized crystal structure of Li2Sc2InPt2Pb (PBE).

## Properties
- E (eV/cell) = -41.070

Cell and atoms, written as CIF:
```
data_Li2Sc2InPt2Pb
_cell_length_a 4.643
_cell_length_b 4.643
_cell_length_c 6.635
_cell_angle_alpha 90.00
_cell_angle_beta 90.00
_cell_angle_gamma 90.00
_space_group_name_H-M_alt 'P -4 m 2'
_space_group_IT_number 115
_space_group_name_Hall 'P -4 -2'
loop_
_atom_site_label
_atom_site_fract_x
_atom_site_fract_y
_atom_site_fract_z
Li1 0.000 0.500 0.244
Sc1 0.000 0.000 0.000
Sc2 0.500 0.500 0.500
In1 0.500 0.500 0.000
Pt1 0.000 0.500 0.757
Pb1 0.000 0.000 0.500
```

=====

Entry 6:
Entry from OQMD via LeMat-Bulk: an optimized crystal structure of Li4Zn2InPb (PBE).

## Properties
- E (eV/cell) = -18.668

Cell and atoms, written as CIF:
```
data_Li4Zn2InPb
_cell_length_a 4.606
_cell_length_b 4.606
_cell_length_c 6.518
_cell_angle_alpha 90.00
_cell_angle_beta 90.00
_cell_angle_gamma 90.00
_space_group_name_H-M_alt 'P -4 m 2'
_space_group_IT_number 115
_space_group_name_Hall 'P -4 -2'
loop_
_atom_site_label
_atom_site_fract_x
_atom_site_fract_y
_atom_site_fract_z
Li1 0.000 0.000 0.000
Li2 0.000 0.500 0.245
Li3 0.500 0.500 0.500
Zn1 0.000 0.500 0.763
In1 0.500 0.500 0.000
Pb1 0.000 0.000 0.500
```

=====

Entry 7:
Entry from OQMD via LeMat-Bulk: an optimized crystal structure of LiInPd (PBE).

## Properties
- E (eV/cell) = -33.685

Cell and atoms, written as CIF:
```
data_LiInPd
_cell_length_a 7.6417
_cell_length_b 7.6417
_cell_length_c 2.9780
_cell_angle_alpha 90.00
_cell_angle_beta 90.00
_cell_angle_gamma 120.00
_space_group_name_H-M_alt 'P -6 2 m'
_space_group_IT_number 189
_space_group_name_Hall 'P -6 -2'
loop_
_atom_site_label
_atom_site_fract_x
_atom_site_fract_y
_atom_site_fract_z
Li1 0.0000 0.3038 0.0000
In1 0.0000 0.0000 0.5000
In2 0.3333 0.6667 0.0000
Pd1 0.0000 0.6367 0.5000
```

=====

Entry 8:
Entry from OQMD via LeMat-Bulk: an optimized crystal structure of LiInPd2 (PBE).

## Properties
- E (eV/cell) = -32.929

Cell and atoms, written as CIF:
```
data_LiInPd2
_cell_length_a 4.4533
_cell_length_b 4.4533
_cell_length_c 8.0724
_cell_angle_alpha 90.00
_cell_angle_beta 90.00
_cell_angle_gamma 120.00
_space_group_name_H-M_alt 'P 63/m m c'
_space_group_IT_number 194
_space_group_name_Hall '-P 6c 2c'
loop_
_atom_site_label
_atom_site_fract_x
_atom_site_fract_y
_atom_site_fract_z
Li1 0.0000 0.0000 0.2500
In1 0.3333 0.6667 0.2500
Pd1 0.3333 0.6667 0.5839
```